TlFe2ReRh, optimized geometry, DFT PBE; energy relative to the elements = 1.5894 eV per atom; crystal system = tetragonal; SG = P4/mmm
1.0
-2.8031 -0.4773 3.4146
2.5608 -4.2652 1.5061
2.6636 2.4944 2.5353
Re Tl Rh Fe
1 1 1 2
Cartesian
0.0000 0.0000 0.0000 Re
1.2804 -2.1326 0.7530 Tl
1.2107 -1.1240 3.7280 Rh
1.3318 1.2472 1.2676 Fe
-1.4016 -0.2386 1.7073 Fe